## Ge2PdRh (PBE)

Data for a relaxed Ge2PdRh crystal.

Computed properties:
- V: 60.7 Å³/cell
- Calculated formation energy: -1.07 eV per formula unit
- Magnetization: 0.00 μB/atom
- Electronic total energy: -5.7127 eV per atom

```
data_Ge2PdRh
_chemical_formula_sum 'Ge2 Pd1 Rh1'
_symmetry_space_group_name_H-M 'P 4/m m m'
_symmetry_Int_Tables_number 123
_symmetry_space_group_name_Hall '-P 4 2'
_cell_length_a 3.111
_cell_length_b 3.111
_cell_length_c 6.271
_cell_angle_alpha 90.00
_cell_angle_beta 90.00
_cell_angle_gamma 90.00
loop_
_atom_site_label
_atom_site_fract_x
_atom_site_fract_y
_atom_site_fract_z
Ge1 0.000 0.000 0.242
Pd1 0.500 0.500 0.500
Rh1 0.500 0.500 0.000
```



## ZrTiCd6 (PBE)

Data for a relaxed ZrTiCd6 crystal.

Computed properties:
- V: 167.3 Å³/cell
- Calculated formation energy: -0.31 eV per formula unit
- Magnetization: 0.16 μB/atom
- Electronic total energy: -2.7805 eV per atom

```
data_ZrTiCd6
_chemical_formula_sum 'Zr1 Ti1 Cd6'
_symmetry_space_group_name_H-M 'P 4/m m m'
_symmetry_Int_Tables_number 123
_symmetry_space_group_name_Hall '-P 4 2'
_cell_length_a 4.400
_cell_length_b 4.400
_cell_length_c 8.640
_cell_angle_alpha 90.00
_cell_angle_beta 90.00
_cell_angle_gamma 90.00
loop_
_atom_site_label
_atom_site_fract_x
_atom_site_fract_y
_atom_site_fract_z
Zr1 0.000 0.000 0.000
Ti1 0.000 0.000 0.500
Cd1 0.000 0.500 0.256
Cd2 0.500 0.500 0.000
Cd3 0.500 0.500 0.500
```